No. 1
5
Lattice="5.1575 0.0000 0.0000 0.0000 5.1575 0.0000 0.0000 0.0000 5.1575" Properties=species:S:1:pos:R:3 comment="GGA-PBE Sm3TmC, relaxed" dos_at_fermi_per_ev_atom=1.28 rho_g_cm3=7.650 ef_kcal_per_mol_atoms=1.37 space_group="Pm-3m (221)" pbc="T T T"
C 0.0000 0.0000 0.0000
Tm 2.5787 2.5787 2.5787
Sm 2.5787 0.0000 0.0000
Sm 0.0000 0.0000 2.5787
Sm 0.0000 2.5787 0.0000

=====

No. 2
20
Lattice="3.1269 0.0000 0.0000 0.0000 9.7018 0.0000 0.0000 0.0000 9.7018" Properties=species:S:1:pos:R:3 comment="GGA-PBE Y2TaB2Ru5, relaxed" dos_at_fermi_per_ev_atom=0.61 rho_g_cm3=9.994 ef_kcal_per_mol_atoms=-11.49 space_group="P4/mbm (127)" pbc="T T T"
Ta 0.0000 0.0000 0.0000
Ta 0.0000 4.8509 4.8509
B 0.0000 6.0182 8.5345
B 0.0000 3.6836 1.1673
B 0.0000 8.5345 3.6836
B 0.0000 1.1673 6.0182
Ru 1.5635 4.8509 0.0000
Ru 1.5635 5.5357 6.9656
Ru 1.5635 6.9656 4.1661
Ru 1.5635 4.1661 2.7363
Ru 1.5635 2.7363 5.5357
Ru 1.5635 0.0000 4.8509
Ru 1.5635 9.0171 2.1146
Ru 1.5635 7.5872 9.0171
Ru 1.5635 0.6848 7.5872
Ru 1.5635 2.1146 0.6848
Y 0.0000 3.1496 8.0006
Y 0.0000 1.7013 3.1496
Y 0.0000 8.0006 6.5522
Y 0.0000 6.5522 1.7013

=====

No. 3
4
Lattice="-6.4285 0.6626 -0.7148 -6.0580 -0.5313 2.3010 -2.2898 4.7541 2.1633" Properties=species:S:1:pos:R:3 comment="GGA-PBE AlBrCl2, relaxed" raw_formation_energy_ev_per_atom=-0.84 dos_at_fermi_per_ev_atom=0.34 rho_g_cm3=2.829 space_group="C2/m (12)" pbc="T T T"
Br -3.6941 1.2213 0.9374
Al -11.0822 3.6640 2.8122
Cl -6.3265 2.9206 1.9335
Cl -3.3514 4.2761 2.1046

=====

No. 4
4
Lattice="-3.6738 8.3512 -1.0555 -5.9271 6.9721 0.7832 -3.3242 8.2891 2.1435" Properties=species:S:1:pos:R:3 comment="GGA-PBE SrZrOs2, relaxed" dos_at_fermi_per_ev_atom=0.90 rho_g_cm3=11.509 ef_kcal_per_mol_atoms=13.43 space_group="R-3m (166)" pbc="T T T"
Os -0.1189 0.2171 0.0172
Os -6.3437 11.5891 0.9184
Sr -3.2313 5.9031 0.4678
Zr -9.6939 17.7093 1.4034

=====

No. 5
20
Lattice="-7.7097 -2.1253 3.3476 -3.3020 -0.8768 -8.1612 6.7414 -4.2517 2.5249" Properties=species:S:1:pos:R:3 comment="GGA-PBE Pr3Pd2Au5, relaxed" dos_at_fermi_per_ev_atom=0.54 rho_g_cm3=11.943 ef_kcal_per_mol_atoms=-14.85 space_group="C2/c (15)" pbc="T T T"
Au 1.1351 -4.2948 1.1727
Au -3.4976 -0.9482 -3.0438
Au -7.5141 -2.0538 -1.7697
Au -3.5257 -5.5715 0.8545
Au -0.7446 -1.6823 -3.1431
Au 0.4436 -2.7719 -5.5253
Au -1.4428 -3.5742 0.1198
Au -2.8275 -3.6796 -2.4085
Au -4.7139 -4.4818 3.2366
Au -5.4054 -2.9589 -3.4613
Pr -1.4410 -4.8018 3.4014
Pr -2.3852 -0.6529 -0.2944
Pr -5.0989 -3.0936 -0.0979
Pr -2.8293 -2.4519 -5.6900
Pr 0.8286 -4.1602 -2.1907
Pr -8.6265 -2.3492 -4.5191
Pd -2.9375 -2.2150 2.0743
Pd -1.3328 -5.0389 -4.3629
Pd 0.4713 -1.2707 -0.7020
Pd -4.7416 -5.9830 -1.5866

=====

No. 6
2
Lattice="3.8518 0.0000 0.0000 0.0000 3.8518 0.0000 0.0000 0.0000 3.8608" Properties=species:S:1:pos:R:3 comment="GGA-PBE CaIn, relaxed" dos_at_fermi_per_ev_atom=0.54 rho_g_cm3=4.490 ef_kcal_per_mol_atoms=-10.80 space_group="Pm-3m (221)" pbc="T T T"
In 1.9259 1.9259 1.9304
Ca 0.0000 0.0000 0.0000

=====

No. 7
19
Lattice="7.5647 0.0000 0.0000 -3.7823 7.7760 0.2379 0.0000 -2.5071 6.2469" Properties=species:S:1:pos:R:3 comment="GGA-PBE In5Sb2Pd12, relaxed" raw_formation_energy_ev_per_atom=-0.33 dos_at_fermi_per_ev_atom=0.36 rho_g_cm3=9.351 space_group="C2/m (12)" pbc="T T T"
Pd 0.0000 0.8582 1.2827
Pd -1.5005 2.7142 5.9219
Pd 2.3006 0.6867 2.9097
Pd 2.2819 2.5548 0.5630
Pd 5.2640 0.6867 2.9097
Pd 3.7823 4.4108 5.2021
Pd 5.2828 2.5548 0.5630
Pd 0.0000 6.4252 1.9277
Pd 1.5005 2.7142 5.9219
Pd -1.4817 4.5823 3.5752
Pd 1.4817 4.5823 3.5752
Pd 3.7823 -1.1562 4.5571
Sb 5.3824 0.0000 0.0000
Sb 2.1823 0.0000 0.0000
In 3.7823 1.5389 5.1192
In 0.0000 3.7301 1.3657
In 3.7823 3.2745 2.6524
In 0.0000 -1.2535 3.1235
In 0.0000 1.9945 3.8325

=====

No. 8
16
Lattice="-2.7083 -2.2063 -3.5347 -0.0873 -5.1550 6.7780 -15.2259 8.5664 6.3192" Properties=species:S:1:pos:R:3 comment="GGA-PBE KRb2AgI4, relaxed" raw_formation_energy_ev_per_atom=-1.15 dos_at_fermi_per_ev_atom=0.00 rho_g_cm3=3.646 space_group="Cmcm (63)" pbc="T T T"
I -12.6622 1.0290 9.0596
I -7.6130 4.2832 3.1596
I 0.0000 0.0000 0.0000
I -2.8580 -2.4169 3.6984
I -15.1635 3.6220 5.8641
I -11.6251 1.6312 4.3955
I -6.3964 -0.4261 5.1669
I -5.3593 0.1761 0.5029
K -11.7476 5.0000 5.8801
K -6.2739 -3.7950 3.6823
Rb -15.3612 3.5251 9.5695
Rb -2.6603 -2.3200 -0.0070
Rb -8.4569 0.9413 2.3987
Rb -9.5646 0.2638 7.1638
Ag -4.2874 0.0538 3.2514
Ag -13.7341 1.1513 6.3110

=====

No. 9
6
Lattice="-0.3101 3.5696 0.0580 -2.2990 -0.1551 -2.7449 -11.5817 -4.5441 9.9804" Properties=species:S:1:pos:R:3 comment="GGA-PBE RbMgNb, relaxed" dos_at_fermi_per_ev_atom=0.86 rho_g_cm3=3.362 ef_kcal_per_mol_atoms=8.82 space_group="P-1 (2)" pbc="T T T"
Rb -2.1327 3.1574 -0.6119
Rb -11.2460 -3.1259 5.0394
Mg -5.5355 1.0542 0.0186
Mg -7.8441 -1.0185 4.4078
Nb -5.5949 -0.7912 2.5117
Nb -7.7853 0.8261 1.9151

=====

No. 10
14
Lattice="7.7937 0.0000 0.0000 3.8969 6.7495 0.0000 3.8969 2.2498 4.8190" Properties=species:S:1:pos:R:3 comment="GGA-PBE PmGa3Cu3, relaxed" dos_at_fermi_per_ev_atom=0.27 rho_g_cm3=7.138 ef_kcal_per_mol_atoms=-5.12 space_group="R-3 (148)" pbc="T T T"
Ga 9.2282 2.3421 2.9693
Ga 6.3592 6.6572 1.8497
Ga 6.6425 2.1786 1.8497
Ga 10.3794 4.6632 1.8497
Ga 8.9449 6.8207 2.9693
Ga 5.2080 4.3361 2.9693
Cu 9.6724 6.7563 0.6936
Cu 10.6874 4.0010 4.1254
Cu 8.8087 1.7444 0.6936
Cu 5.9150 2.2430 4.1254
Cu 6.7787 7.2549 4.1254
Cu 4.9001 4.9983 0.6936
Pm 3.8969 2.2498 0.1399
Pm 11.6906 6.7495 4.6791

=====

No. 11
3
Lattice="-1.1443 -2.3755 -2.8366 -1.9139 -3.2563 0.8554 -3.7627 -0.3174 -0.8601" Properties=species:S:1:pos:R:3 comment="GGA-PBE AlCo2, relaxed" dos_at_fermi_per_ev_atom=1.58 rho_g_cm3=5.856 ef_kcal_per_mol_atoms=7.08 space_group="Fm-3m (225)" pbc="T T T"
Al 0.0000 0.0000 0.0000
Co -5.1157 -4.4619 -2.1310
Co -1.7052 -1.4873 -0.7103

=====

No. 12
20
Lattice="-3.5575 -1.5282 4.7837 4.6683 -7.2682 2.9302 3.7010 5.4798 6.2833" Properties=species:S:1:pos:R:3 comment="GGA-PBE SrCdSi2S6, relaxed" raw_formation_energy_ev_per_atom=-0.89 dos_at_fermi_per_ev_atom=0.00 rho_g_cm3=2.986 space_group="C2/c (15)" pbc="T T T"
S 0.0931 -1.7832 2.2053
S 4.0511 -4.4428 7.0084
S 1.1004 -2.1664 5.6717
S 6.6683 -3.0210 8.8078
S 3.7114 -1.1502 8.3255
S 1.8620 0.2014 10.8228
S 2.9498 -3.5179 3.1744
S 2.7721 0.0081 3.6509
S 2.0397 -3.3247 10.3463
S 4.7187 -1.5334 11.7919
S -1.8565 -0.2956 5.1894
S 0.7607 1.1263 6.9888
Sr 3.6702 -6.2167 4.5032
Sr 1.1417 2.9002 9.4940
Cd 1.6767 -4.1514 7.6392
Cd 3.1351 0.8348 6.3579
Si 3.1457 -1.4457 10.4358
Si -0.2624 -0.6617 6.4722
Si 5.0742 -2.6549 7.5250
Si 1.6661 -1.8709 3.5613